[1]
VASP calculation (GGA-PBE) on Sr2InHg after structural relaxation.

Summary:
**Symmetry**: No. 8
**Mass density**: 6.1 g/cm³
**Calculated formation energy**: -154 kJ/mol of formula units
**Uncorrected energy**: -8.00 eV/f.u.

Geometry as POSCAR:
```
Sr2InHg
1.0
6.443 -1.996 0.000
6.443 1.996 0.000
-2.315 0.000 5.164
Sr In Hg
2 1 1
direct
0.000 0.000 0.000 Sr
0.202 0.202 0.689 Sr
0.767 0.767 0.249 In
0.463 0.463 0.469 Hg
```

=====

[2]
VASP calculation (GGA-PBE) on Sr2InHg after structural relaxation.

Summary:
**Symmetry**: No. 99
**Mass density**: 5.6 g/cm³
**Calculated formation energy**: -116 kJ/mol of formula units
**Uncorrected energy**: -7.61 eV/f.u.

Geometry as POSCAR:
```
Sr2InHg
1.0
4.189 0.000 0.000
0.000 4.189 0.000
0.000 0.000 8.278
Sr In Hg
2 1 1
direct
0.000 0.000 0.000 Sr
0.500 0.500 0.377 Sr
0.500 0.500 0.786 In
0.000 0.000 0.575 Hg
```

=====

[3]
VASP calculation (GGA-PBE) on Sr2InHg6 after structural relaxation.

Summary:
**Symmetry**: No. 12
**Mass density**: 9.8 g/cm³
**Calculated formation energy**: -305 kJ/mol of formula units
**Uncorrected energy**: -11.08 eV/f.u.
**E above lowest polymorph**: 0.0 meV per atom

Geometry as POSCAR:
```
Sr2InHg6
1.0
5.940 -3.423 0.000
5.940 3.423 0.000
-0.013 0.000 6.230
Sr In Hg
2 1 6
direct
0.166 0.166 0.177 Sr
0.834 0.834 0.823 Sr
0.500 0.500 0.000 In
0.135 0.682 0.325 Hg
0.317 0.317 0.676 Hg
0.318 0.865 0.675 Hg
0.682 0.135 0.325 Hg
0.683 0.683 0.324 Hg
0.865 0.318 0.675 Hg
```

=====

[4]
VASP calculation (GGA-PBE) on Sr3InHg5 after structural relaxation.

Summary:
**Symmetry**: No. 193
**Mass density**: 8.6 g/cm³
**Calculated formation energy**: -395 kJ/mol of formula units
**Uncorrected energy**: -13.39 eV/f.u.

Geometry as POSCAR:
```
Sr3InHg5
1.0
9.655 0.000 0.000
-4.828 8.362 0.000
0.000 0.000 6.603
Sr In Hg
6 2 10
direct
0.000 0.365 0.250 Sr
0.000 0.635 0.750 Sr
0.365 0.000 0.250 Sr
0.365 0.365 0.750 Sr
0.635 0.000 0.750 Sr
0.635 0.635 0.250 Sr
0.000 0.000 0.000 In
0.000 0.000 0.500 In
0.000 0.291 0.750 Hg
0.000 0.709 0.250 Hg
0.291 0.000 0.750 Hg
0.291 0.291 0.250 Hg
0.333 0.667 0.000 Hg
0.333 0.667 0.500 Hg
0.667 0.333 0.000 Hg
0.667 0.333 0.500 Hg
0.709 0.000 0.250 Hg
0.709 0.709 0.750 Hg
```

=====

[5]
VASP calculation (GGA-PBE) on SrIn4Hg8 after structural relaxation.

Summary:
**Symmetry**: No. 12
**Mass density**: 10.0 g/cm³
**Calculated formation energy**: -160 kJ/mol of formula units
**Uncorrected energy**: -16.71 eV/f.u.
**E above lowest polymorph**: 0.0 meV per atom

Geometry as POSCAR:
```
SrIn4Hg8
1.0
8.139 -2.514 0.000
8.139 2.514 0.000
-4.303 0.000 8.763
Sr In Hg
1 4 8
direct
0.000 0.000 0.000 Sr
0.132 0.132 0.733 In
0.291 0.291 0.430 In
0.709 0.709 0.570 In
0.868 0.868 0.267 In
0.081 0.081 0.396 Hg
0.226 0.226 0.083 Hg
0.350 0.350 0.796 Hg
0.451 0.451 0.192 Hg
0.549 0.549 0.808 Hg
0.650 0.650 0.204 Hg
0.774 0.774 0.917 Hg
0.919 0.919 0.604 Hg
```

=====

[6]
VASP calculation (GGA-PBE) on Sr2In3Hg4 after structural relaxation.

Summary:
**Symmetry**: No. 64
**Mass density**: 8.6 g/cm³
**Calculated formation energy**: -283 kJ/mol of formula units
**Uncorrected energy**: -15.72 eV/f.u.
**E above lowest polymorph**: 21.5 meV per atom

Geometry as POSCAR:
```
Sr2In3Hg4
1.0
3.257 -8.693 0.000
3.257 8.693 0.000
0.000 0.000 9.042
Sr In Hg
4 6 8
direct
0.112 0.888 0.916 Sr
0.388 0.612 0.416 Sr
0.612 0.388 0.584 Sr
0.888 0.112 0.084 Sr
0.000 0.000 0.500 In
0.033 0.467 0.750 In
0.467 0.033 0.250 In
0.500 0.500 0.000 In
0.533 0.967 0.750 In
0.967 0.533 0.250 In
0.178 0.822 0.540 Hg
0.202 0.298 0.750 Hg
0.298 0.202 0.250 Hg
0.322 0.678 0.040 Hg
0.678 0.322 0.960 Hg
0.702 0.798 0.750 Hg
0.798 0.702 0.250 Hg
0.822 0.178 0.460 Hg
```

=====

[7]
VASP calculation (GGA-PBE) on SrInHg3 after structural relaxation.

Summary:
**Symmetry**: No. 221
**Mass density**: 5.7 g/cm³
**Calculated formation energy**: 150 kJ/mol of formula units
**Uncorrected energy**: -3.77 eV/f.u.
**E above lowest polymorph**: 617.2 meV per atom

Geometry as POSCAR:
```
SrInHg3
1.0
6.152 0.000 0.000
0.000 6.152 0.000
0.000 0.000 6.152
Sr In Hg
1 1 3
direct
0.000 0.000 0.000 Sr
0.500 0.500 0.500 In
0.000 0.000 0.500 Hg
0.000 0.500 0.000 Hg
0.500 0.000 0.000 Hg
```

=====

[8]
VASP calculation (GGA-PBE) on SrIn3Hg7 after structural relaxation.

Summary:
**Symmetry**: No. 63
**Mass density**: 9.9 g/cm³
**Calculated formation energy**: -123 kJ/mol of formula units
**Uncorrected energy**: -13.29 eV/f.u.

Geometry as POSCAR:
```
SrIn3Hg7
1.0
2.113 -12.766 0.000
2.113 12.766 0.000
0.000 0.000 11.458
Sr In Hg
2 6 14
direct
0.068 0.932 0.750 Sr
0.932 0.068 0.250 Sr
0.104 0.896 0.094 In
0.104 0.896 0.406 In
0.212 0.788 0.750 In
0.788 0.212 0.250 In
0.896 0.104 0.594 In
0.896 0.104 0.906 In
0.226 0.774 0.083 Hg
0.226 0.774 0.417 Hg
0.339 0.661 0.750 Hg
0.355 0.645 0.089 Hg
0.355 0.645 0.411 Hg
0.481 0.519 0.619 Hg
0.481 0.519 0.881 Hg
0.519 0.481 0.119 Hg
0.519 0.481 0.381 Hg
0.645 0.355 0.589 Hg
0.645 0.355 0.911 Hg
0.661 0.339 0.250 Hg
0.774 0.226 0.583 Hg
0.774 0.226 0.917 Hg
```